[1]
Computed, not measured: a relaxed structure of Ti4NbSb at the PBE-GGA level of DFT.

Structure (POSCAR):
```
Ti4NbSb
1.0
-2.334 2.786 4.083
2.334 -2.786 4.083
2.334 2.786 -4.083
Ti Nb Sb
4 1 1
direct
0.082 0.836 0.246 Ti
0.410 0.164 0.246 Ti
0.590 0.836 0.754 Ti
0.918 0.164 0.754 Ti
0.000 0.500 0.500 Nb
0.500 0.500 0.000 Sb
```

The value obtained for the electronic total energy is -46.44 eV for the cell shown. For the mass density, the calculation gives 6.35 g/cm³. The value obtained for the energy above the most stable polymorph in this dataset is 0 meV per atom. The value obtained for the energy relative to the elements, uncorrected is -2.6 kcal/mol of atoms.

=====

[2]
Computed, not measured: a relaxed structure of Ti3NbSb4 at the PBE-GGA level of DFT.

Structure (POSCAR):
```
Ti3NbSb4
1.0
5.290 0.000 0.000
0.000 10.570 0.000
0.000 0.000 5.880
Ti Nb Sb
6 2 8
direct
0.250 0.002 0.152 Ti
0.250 0.498 0.152 Ti
0.250 0.750 0.849 Ti
0.750 0.250 0.151 Ti
0.750 0.502 0.848 Ti
0.750 0.998 0.848 Ti
0.250 0.250 0.846 Nb
0.750 0.750 0.154 Nb
0.250 0.250 0.331 Sb
0.250 0.502 0.672 Sb
0.250 0.750 0.330 Sb
0.250 0.998 0.672 Sb
0.750 0.002 0.328 Sb
0.750 0.250 0.670 Sb
0.750 0.498 0.328 Sb
0.750 0.750 0.669 Sb
```

The value obtained for the electronic total energy is -105.87 eV for the cell shown. For the mass density, the calculation gives 7.31 g/cm³. The value obtained for the energy relative to the elements, uncorrected is -7.8 kcal/mol of atoms.

=====

[3]
Computed, not measured: a relaxed structure of TiNbSb2 at the PBE-GGA level of DFT.

Structure (POSCAR):
```
TiNbSb2
1.0
0.000 3.414 3.414
3.414 0.000 3.414
3.414 3.414 0.000
Ti Nb Sb
1 1 2
direct
0.000 0.000 0.000 Ti
0.500 0.500 0.500 Nb
0.250 0.250 0.250 Sb
0.750 0.750 0.750 Sb
```

The value obtained for the electronic total energy is -26.93 eV for the cell shown. For the mass density, the calculation gives 8.02 g/cm³. The value obtained for the energy above the most stable polymorph in this dataset is 0 meV per atom. The value obtained for the energy relative to the elements, uncorrected is -4.2 kcal/mol of atoms.

=====

Look up the energy relative to the elements, uncorrected of the third one.
-4.2 kcal/mol of atoms

=====

Look up the electronic total energy of the first one.
-46.44 eV for the cell shown